# 1
First-principles (PBE) data for an optimized crystal structure of Na2MgAg2Cl6, as listed in the Alexandria database.

- formation energy without anion corrections (eV/f.u.) = -14.40

Cell: 6.927 6.927 6.814 Å, 94.96 94.96 119.29°
Fractional coordinates of all 11 atoms:
Na: 0.164 0.836 0.000
Na: 0.836 0.164 0.000
Mg: 0.500 0.500 0.000
Ag: 0.369 0.631 0.500
Ag: 0.631 0.369 0.500
Cl: 0.163 0.472 0.781
Cl: 0.240 0.240 0.209
Cl: 0.472 0.163 0.781
Cl: 0.528 0.837 0.219
Cl: 0.760 0.760 0.791
Cl: 0.837 0.528 0.219

***

# 2
First-principles (PBE) data for an optimized crystal structure of Na3MgAg3Cl8, as listed in the Alexandria database.

- formation energy without anion corrections (eV/f.u.) = -18.90

Cell: 7.962 7.962 7.940 Å, 119.71 119.71 59.21°
Fractional coordinates of all 15 atoms:
Na: 0.000 0.000 0.000
Na: 0.000 0.500 0.500
Na: 0.500 0.000 0.500
Mg: 0.000 0.000 0.500
Ag: 0.000 0.500 0.000
Ag: 0.500 0.000 0.000
Ag: 0.500 0.500 0.500
Cl: 0.225 0.225 0.727
Cl: 0.227 0.769 0.723
Cl: 0.231 0.773 0.277
Cl: 0.248 0.248 0.243
Cl: 0.752 0.752 0.757
Cl: 0.769 0.227 0.723
Cl: 0.773 0.231 0.277
Cl: 0.775 0.775 0.273

***

# 3
First-principles (PBE) data for an optimized crystal structure of Mg2NbAgCl, as listed in the Alexandria database.

- formation energy without anion corrections (eV/f.u.) = 4.94

Cell: 5.701 5.701 5.149 Å, 90.00 90.00 90.00°
Fractional coordinates of all 5 atoms:
Mg: 0.000 0.500 0.000
Mg: 0.500 0.000 0.000
Nb: 0.000 0.000 0.000
Ag: 0.000 0.000 0.500
Cl: 0.500 0.500 0.500

***

# 4
First-principles (PBE) data for an optimized crystal structure of MgAgP2Cl, as listed in the Alexandria database.

- offset from the most stable computed form (eV/atom) = 0.069
- formation energy without anion corrections (eV/f.u.) = 2.93

Cell: 4.741 4.741 5.466 Å, 90.00 90.00 90.00°
Fractional coordinates of all 5 atoms:
Mg: 0.000 0.000 0.000
Ag: 0.500 0.500 0.500
P: 0.000 0.500 0.500
P: 0.500 0.000 0.500
Cl: 0.500 0.500 0.000

***

| no. | D(E_F) (states/eV/cell) |
| --- | --- |
| 1 | 0.00 |
| 2 | 0.00 |
| 3 | 2.00 |
| 4 | 2.94 |